(1)
The following is a PBE-GGA calculation of a relaxed structure of Dy2Ga4RuPt3, from the Alexandria database.

Geometry as POSCAR:
```
Dy2Ga4RuPt3
1.0
-2.9331 -0.0393 -3.1009
2.2793 -2.9215 -2.1190
-5.0383 -7.4560 4.8603
Dy Ga Ru Pt
2 4 1 3
direct
0.5000 0.0000 0.2652
0.0000 0.5000 0.7348
0.5000 0.5000 0.0000
0.0000 0.0000 0.0000
0.5000 0.0000 0.6264
0.0000 0.5000 0.3736
0.5000 0.5000 0.5000
0.0000 0.0000 0.5000
0.5000 0.0000 0.8661
0.0000 0.5000 0.1339
```

Values from the calculation:
E_tot = -5.7292 eV/atom
V = 18.63 A^3/atom
M_tot = 0.000 μB/atom
energy of formation from the pure elements = -0.858 eV/atom



(2)
The following is a PBE-GGA calculation of a relaxed structure of Tb2Pm6Y5, from the Alexandria database.

Geometry as POSCAR:
```
Tb2Pm6Y5
1.0
3.6378 0.0000 0.0000
0.0000 11.7371 0.0000
0.0000 0.0000 20.5948
Tb Pm Y
4 12 10
direct
0.0000 0.3323 0.2875
0.0000 0.6677 0.7125
0.0000 0.8323 0.2125
0.0000 0.1677 0.7875
0.0000 0.0805 0.3652
0.0000 0.9195 0.6348
0.0000 0.5805 0.1348
0.0000 0.4195 0.8652
0.5000 0.3269 0.1333
0.5000 0.6731 0.8667
0.5000 0.8269 0.3667
0.5000 0.1731 0.6333
0.0000 0.5625 0.4218
0.0000 0.4375 0.5782
0.0000 0.0625 0.0782
0.0000 0.9375 0.9218
0.5000 0.3018 0.4431
0.5000 0.6982 0.5569
0.5000 0.8018 0.0569
0.5000 0.1982 0.9431
0.5000 0.5919 0.2760
0.5000 0.4081 0.7240
0.5000 0.0919 0.2240
0.5000 0.9081 0.7760
0.5000 0.5000 0.0000
0.5000 0.0000 0.5000
```

Values from the calculation:
E_tot = -5.2929 eV/atom
V = 33.82 A^3/atom
M_tot = 0.000 μB/atom
energy of formation from the pure elements = 0.098 eV/atom